# PBE with a Hubbard U RbPmCrF6, optimized geometry
data_RbPmCrF6
_symmetry_space_group_name_H-M 'I m m a'
_symmetry_Int_Tables_number 74
_symmetry_space_group_name_Hall '-I 2b 2'
_cell_length_a 8.3472
_cell_length_b 8.3833
_cell_length_c 11.0173
_cell_angle_alpha 90.00
_cell_angle_beta 90.00
_cell_angle_gamma 90.00
loop_
_atom_site_label
_atom_site_fract_x
_atom_site_fract_y
_atom_site_fract_z
Rb1 0.0000 0.2500 0.0575
Pm1 0.0000 0.0000 0.5000
Cr1 0.2500 0.2500 0.7500
F1 0.0000 0.2500 0.4140
F2 0.0000 0.2500 0.8199
F3 0.2052 0.0754 0.6202
# E_tot = -0.4359 Ry/atom